Tm2ScAg3Te6: relaxed, PBE.

Calculated values
As for the space-group type: C2/m (12). For the uncorrected formation energy, the calculation gives -783 meV/atom.

The structure in POSCAR format:
```
Tm2ScAg3Te6
1.0
4.2789 0.0000 0.0000
0.0000 8.4123 0.1998
-2.1395 -2.5684 9.3997
Te Ag Tm Sc
6 3 2 1
Direct
0.9875 0.7515 0.9751 Te
0.3365 0.4375 0.6729 Te
0.0125 0.2485 0.0249 Te
0.6635 0.5625 0.3271 Te
0.3446 0.9652 0.6893 Te
0.6554 0.0348 0.3107 Te
0.5000 0.5000 0.0000 Ag
0.2007 0.7967 0.4013 Ag
0.7993 0.2033 0.5987 Ag
0.1733 0.3035 0.3466 Tm
0.8267 0.6965 0.6534 Tm
0.5000 0.0000 0.0000 Sc
```


Pm4SmSb5: relaxed, PBE.

Calculated values
As for the space-group type: I4/mmm (139). For the uncorrected formation energy, the calculation gives -1187 meV/atom.

The structure in POSCAR format:
```
Pm4SmSb5
1.0
-3.9037 -1.3269 -1.7729
2.1723 -1.5966 -3.5881
2.3857 -12.5992 9.8575
Pm Sb Sm
4 5 1
Direct
0.8001 0.8001 0.6002 Pm
0.1999 0.1999 0.3998 Pm
0.5999 0.5999 0.1998 Pm
0.4001 0.4001 0.8002 Pm
0.5000 0.5000 0.0000 Sb
0.3000 0.3000 0.6000 Sb
0.0997 0.0997 0.1994 Sb
0.9003 0.9003 0.8006 Sb
0.7000 0.7000 0.4000 Sb
0.0000 0.0000 0.0000 Sm
```